# 1
HfAgSb PBE-GGA relaxed; uncorrected energy = -5.4203 eV per atom; M_tot = 0.0199 μB/atom; space-group type = F-43m, No. 216
1.0
0.0000 3.3047 3.3047
3.3047 0.0000 3.3047
3.3047 3.3047 0.0000
Hf Ag Sb
1 1 1
Cartesian
0.0000 0.0000 0.0000
3.3047 3.3047 3.3047
4.9570 4.9570 4.9570

***

# 2
ZrCoBiAu PBE-GGA relaxed; uncorrected energy = -5.6868 eV per atom; M_tot = 0.2454 μB/atom; space-group type = F-43m, No. 216
1.0
0.0000 3.3652 3.3652
3.3652 0.0000 3.3652
3.3652 3.3652 0.0000
Zr Co Bi Au
1 1 1 1
Cartesian
0.0000 0.0000 0.0000
3.3652 3.3652 3.3652
1.6826 1.6826 1.6826
5.0478 5.0478 5.0478

***

# 3
YNpSc PBE-GGA relaxed; ΔE_f = 1.081 eV per atom; uncorrected energy = -7.4398 eV per atom; M_tot = 1.9593 μB/atom; space-group type = F-43m, No. 216
1.0
0.0000 3.6377 3.6377
3.6377 0.0000 3.6377
3.6377 3.6377 0.0000
Y Np Sc
1 1 1
Cartesian
0.0000 0.0000 0.0000
3.6377 3.6377 3.6377
5.4566 5.4566 5.4566

***

# 4
Na4PrO4 PBE-GGA relaxed; uncorrected energy = -4.9757 eV per atom; M_tot = 0.1113 μB/atom; space-group type = P-1, No. 2
1.0
5.9706 0.0000 0.0000
2.1197 5.5973 0.0000
1.0372 2.7446 8.6266
Na Pr O
8 2 8
Cartesian
1.8060 1.2360 1.9362
4.0899 7.0330 4.9082
3.0710 4.2780 3.5469
4.0930 6.9473 8.5989
5.0346 1.3946 0.0276
6.0566 4.0640 5.0797
5.0377 1.3089 3.7184
7.3216 7.1059 6.6904
2.9155 4.0207 6.7438
6.2121 4.3212 1.8828
1.0777 2.8018 6.9747
2.1700 5.5284 5.3051
2.8157 1.9344 0.0506
4.0050 2.8136 5.2337
5.1226 5.5283 3.3928
6.3119 6.4075 8.5760
6.9576 2.8135 3.3214
8.0499 5.5401 1.6519

***

# 5
TbFeHg PBE-GGA relaxed; ΔE_f = 0.361 eV per atom; uncorrected energy = -4.0506 eV per atom; M_tot = 0.7517 μB/atom; space-group type = F-43m, No. 216
1.0
0.0000 3.3483 3.3483
3.3483 0.0000 3.3483
3.3483 3.3483 0.0000
Tb Fe Hg
1 1 1
Cartesian
0.0000 0.0000 0.0000
3.3483 3.3483 3.3483
5.0224 5.0224 5.0224

***

# 6
PrZr PBE-GGA relaxed; ΔE_f = 0.165 eV per atom; uncorrected energy = -6.4959 eV per atom; M_tot = 0.0024 μB/atom; space-group type = Pmmn, No. 59
1.0
5.5291 0.0000 0.0000
0.0000 6.8515 0.0000
0.0000 0.0000 12.1951
Pr Zr
8 8
Cartesian
1.3823 0.0292 1.0855
1.3823 1.7129 4.1885
1.3823 1.7129 9.8333
1.3823 3.3965 1.0855
4.1468 3.4550 11.1096
4.1468 5.1386 2.3618
4.1468 5.1386 8.0066
4.1468 6.8223 11.1096
1.3823 0.0366 7.0372
1.3823 3.3892 7.0372
1.3823 5.1386 4.4490
1.3823 5.1386 9.9117
4.1468 1.7129 2.2835
4.1468 1.7129 7.7462
4.1468 3.4624 5.1580
4.1468 6.8149 5.1580